Computed, not measured: crystalline BaMg2Zr at its relaxed geometry at the GGA-PBE level of DFT.

- Calculated volume: 27.9 Å³/atom
- Polymorph energy (0 for the lowest one): 161 meV per atom
- Formation enthalpy at 0 K: 297.6 meV per atom

a b c (Å): 6.0147 6.0147 3.2475
angles (deg): 90.00 90.00 108.15
Closest atoms and distances in Å follow each position.
Element x y z (fractional)
1 Mg 0.5000 0.5000 0.0000  4 Mg 3.25-3.53, 4 Zr 3.42, 4 Ba 3.42
2 Mg 0.0000 0.0000 0.0000  4 Mg 3.25-3.53, 4 Ba 3.42, 4 Zr 3.42
3 Ba 0.0000 0.5000 0.5000  2 Ba 3.25, 8 Mg 3.42, 2 Zr 3.53
4 Zr 0.5000 0.0000 0.5000  2 Zr 3.25, 8 Mg 3.42, 2 Ba 3.53

***

Computed, not measured: crystalline La2ErPb2 at its relaxed geometry at the GGA-PBE level of DFT.

- Calculated volume: 33.2 Å³/atom
- Polymorph energy (0 for the lowest one): 47 meV per atom
- Formation enthalpy at 0 K: -508.3 meV per atom

a b c (Å): 5.2173 6.7237 9.8102
angles (deg): 90.00 105.42 90.00
Closest atoms and distances in Å follow each position.
Element x y z (fractional)
1 La 0.1958 0.9764 0.3916  6 Pb 3.37-3.46
2 Pb 0.8163 0.9765 0.6326  2 Er 3.04, 2 La 3.37
3 Er 0.3988 0.9773 0.7975  5 Pb 3.04-3.39
4 Er 0.6012 0.4773 0.2025  5 Pb 3.04-3.39
5 La 0.8042 0.4764 0.6084  6 Pb 3.37-3.46
6 Pb 0.1837 0.4765 0.3674  2 Er 3.04, 2 La 3.37
7 La 0.0001 0.2270 0.0002  2 La 3.36, 4 Pb 3.43, 4 Er 3.65
8 La 0.9999 0.7270 0.9998  2 La 3.36, 4 Pb 3.43, 4 Er 3.65
9 Pb 0.5772 0.9772 0.1543  3 Er 3.37-3.39, 6 La 3.43-3.44
10 Pb 0.4228 0.4772 0.8457  3 Er 3.37-3.39, 6 La 3.43-3.44

***

Computed, not measured: crystalline SrNbTcNi2 at its relaxed geometry at the GGA-PBE level of DFT.

- Calculated volume: 21.6 Å³/atom
- Formation enthalpy at 0 K: 1529.8 meV per atom

a b c (Å): 4.5916 5.1175 4.5916
angles (deg): 90.00 90.00 90.00
Closest atoms and distances in Å follow each position.
Element x y z (fractional)
1 Ni 0.0000 0.0000 0.5000  2 Tc 2.30
2 Nb 0.5000 0.5000 0.5000  4 Sr 3.25, 8 Ni 3.44
3 Tc 0.0000 0.0000 0.0000  4 Ni 2.30, 2 Sr 2.56
4 Ni 0.5000 0.0000 0.0000  2 Tc 2.30
5 Sr 0.0000 0.5000 0.0000  2 Tc 2.56

***

Computed, not measured: crystalline DyHo3Rh4 at its relaxed geometry at the GGA-PBE level of DFT.

- Calculated volume: 19.9 Å³/atom
- Formation enthalpy at 0 K: -897.8 meV per atom

a b c (Å): 4.8620 6.7272 9.7247
angles (deg): 90.00 90.00 90.00
Closest atoms and distances in Å follow each position.
Element x y z (fractional)
1 Rh 0.5000 0.2493 0.5000  6 Ho 2.95-2.96, 2 Dy 2.96
2 Ho 0.5001 0.5000 0.2500  8 Rh 2.96
3 Rh 0.9999 0.2494 0.7500  6 Ho 2.95-2.96, 2 Dy 2.96
4 Ho 0.4999 0.5000 0.7500  8 Rh 2.96
5 Rh 0.9999 0.7506 0.7500  6 Ho 2.95-2.96, 2 Dy 2.96
6 Dy 0.0000 0.5000 0.0000  8 Rh 2.96
7 Ho 0.0000 0.0000 0.0000  8 Rh 2.95
8 Ho 0.0000 0.0000 0.5000  8 Rh 2.95
9 Ho 0.5001 0.0000 0.2500  8 Rh 2.95
10 Rh 0.5000 0.7507 0.0000  6 Ho 2.95-2.96, 2 Dy 2.96
11 Rh 0.0001 0.2494 0.2500  6 Ho 2.95-2.96, 2 Dy 2.96
12 Rh 0.5000 0.7507 0.5000  6 Ho 2.95-2.96, 2 Dy 2.96
13 Rh 0.0001 0.7506 0.2500  6 Ho 2.95-2.96, 2 Dy 2.96
14 Ho 0.4999 0.0000 0.7500  8 Rh 2.95
15 Rh 0.5000 0.2493 0.0000  6 Ho 2.95-2.96, 2 Dy 2.96
16 Dy 0.0000 0.5000 0.5000  8 Rh 2.96

***

Computed, not measured: crystalline SrMoRh at its relaxed geometry at the GGA-PBE level of DFT.

- Calculated volume: 20.5 Å³/atom
- Polymorph energy (0 for the lowest one): 387 meV per atom
- Formation enthalpy at 0 K: 720.6 meV per atom

a b c (Å): 3.1347 3.1347 7.2168
angles (deg): 90.00 90.00 120.00
Closest atoms and distances in Å follow each position.
Element x y z (fractional)
1 Sr 0.3333 0.6667 0.6599  6 Sr 3.13, 3 Rh 3.17, 3 Mo 3.30
2 Mo 0.0000 0.0000 0.0414  3 Rh 2.59
3 Rh 0.6667 0.3333 0.2987  3 Mo 2.59

***

Computed, not measured: crystalline PmSm2InO at its relaxed geometry at the GGA-PBE level of DFT.

- Calculated volume: 23.8 Å³/atom

a b c (Å): 4.9418 4.9082 4.9082
angles (deg): 90.00 90.00 90.00
Closest atoms and distances in Å follow each position.
Element x y z (fractional)
1 Pm 0.5000 0.0000 0.0000  2 O 2.47
2 O 0.0000 0.0000 0.0000  4 Sm 2.45, 2 Pm 2.47
3 Sm 0.0000 0.0000 0.5000  2 O 2.45
4 In 0.5000 0.5000 0.5000  4 Pm 3.47, 8 Sm 3.48
5 Sm 0.0000 0.5000 0.0000  2 O 2.45

***

Computed, not measured: crystalline AgNF2 at its relaxed geometry at the GGA-PBE level of DFT.

- Calculated volume: 14.6 Å³/atom
- Polymorph energy (0 for the lowest one): 1588 meV per atom

a b c (Å): 7.1503 7.1503 7.1503
angles (deg): 25.19 25.19 25.19
Closest atoms and distances in Å follow each position.
Element x y z (fractional)
1 F 0.0983 0.0983 0.0983  1 Ag 2.04
2 Ag 0.0000 0.0000 0.0000  2 F 2.04
3 F 0.9017 0.9017 0.9017  1 Ag 2.04
4 N 0.5000 0.5000 0.5000  6 F 2.29

***

Computed, not measured: crystalline FeAu3Br at its relaxed geometry at the GGA-PBE level of DFT.

- Calculated volume: 23.9 Å³/atom
- Polymorph energy (0 for the lowest one): 0 meV per atom

a b c (Å): 4.9239 4.9239 4.9239
angles (deg): 90.00 90.00 90.00
Closest atoms and distances in Å follow each position.
Element x y z (fractional)
1 Au 0.0000 0.0000 0.5000  2 Fe 2.46
2 Au 0.0000 0.5000 0.0000  2 Fe 2.46
3 Au 0.5000 0.0000 0.0000  2 Fe 2.46
4 Br 0.5000 0.5000 0.5000  12 Au 3.48
5 Fe 0.0000 0.0000 0.0000  6 Au 2.46

***

Computed, not measured: crystalline CePr2SmAs4 at its relaxed geometry at the GGA-PBE level of DFT.

- Calculated volume: 27.3 Å³/atom
- Formation enthalpy at 0 K: -1494.2 meV per atom

a b c (Å): 4.2601 7.3730 7.3802
angles (deg): 109.40 90.00 90.00
Closest atoms and distances in Å follow each position.
Element x y z (fractional)
1 As 0.0000 0.2539 0.7577  2 Ce 2.98, 1 Sm 2.99, 3 Pr 3.03-3.05
2 As 0.5000 0.7503 0.7572  1 Ce 2.97, 2 Sm 2.99, 3 Pr 3.04-3.05
3 As 0.5000 0.2497 0.2428  1 Ce 2.97, 2 Sm 2.99, 3 Pr 3.04-3.05
4 Pr 0.0000 0.5000 0.5000  6 As 3.03-3.04
5 Ce 0.5000 0.5000 0.0000  6 As 2.97-2.98
6 Sm 0.0000 0.0000 0.0000  6 As 2.99
7 Pr 0.5000 0.0000 0.5000  6 As 3.05
8 As 0.0000 0.7461 0.2423  2 Ce 2.98, 1 Sm 2.99, 3 Pr 3.03-3.05

***

For each record above, in turn, the calculated electronic total energy values are -3.12, -4.88, -5.21, -6.87, -5.90, -5.80, -2.95, -3.21, -6.35 eV per atom.